(1)
KNiN3 | PBE | optimized geometry

Summary:
Total magnetization ... 0.00 μB/cell
Space-group type ... No. 221
Calculated volume ... 14.29 Å³/atom
Total DFT energy (no corrections) ... -12.8 eV/cell
Fermi-level density of states ... 11.25 states/eV/f.u.
Formation energy without anion corrections ... 3816 meV per atom

Cell lengths 4.150, 4.150, 4.150 Å; angles 90.00, 90.00, 90.00 degrees
Sites, in units of the cell vectors:
Ni: 0.500 0.500 0.500
N: 0.000 0.000 0.500
K: 0.000 0.000 0.000
N: 0.000 0.500 0.000
N: 0.500 0.000 0.000

=====

(2)
Ba2LiOs | PBE | optimized geometry

Summary:
Formation enthalpy at 0 K ... 0.570 eV per atom
Total magnetization ... 0.00 μB/cell
Space-group type ... No. 225
Calculated volume ... 28.50 Å³/atom
Total DFT energy (no corrections) ... -14.7 eV/cell
Fermi-level density of states ... 4.15 states/eV/f.u.
Energy relative to the lowest polymorph listed for this composition ... 0.1326 eV per atom

Cell lengths 5.443, 5.443, 5.443 Å; angles 60.00, 60.00, 60.00 degrees
Sites, in units of the cell vectors:
Li: 0.000 0.000 0.000
Os: 0.500 0.500 0.500
Ba: 0.750 0.750 0.750
Ba: 0.250 0.250 0.250

=====

(3)
PuPaTiZn | PBE | optimized geometry

Summary:
Formation enthalpy at 0 K ... 0.081 eV per atom
Total magnetization ... 3.63 μB/cell
Space-group type ... No. 216
Calculated volume ... 19.54 Å³/atom
Total DFT energy (no corrections) ... -32.7 eV/cell
Fermi-level density of states ... 7.96 states/eV/f.u.

Cell lengths 4.799, 4.799, 4.799 Å; angles 60.00, 60.00, 60.00 degrees
Each line ends with the local moment (μB).
Sites, in units of the cell vectors:
Ti: 0.000 0.000 0.000  -0.90
Pu: 0.500 0.500 0.500  4.76
Zn: 0.750 0.750 0.750  -0.03
Pa: 0.250 0.250 0.250  0.02

=====

(4)
BaCaIn2Pd | PBE | optimized geometry

Summary:
Formation enthalpy at 0 K ... -0.429 eV per atom
Total magnetization ... 0.00 μB/cell
Space-group type ... No. 123
Calculated volume ... 30.96 Å³/atom
Total DFT energy (no corrections) ... -16.7 eV/cell
Fermi-level density of states ... 3.34 states/eV/f.u.

Cell lengths 5.346, 5.346, 5.417 Å; angles 90.00, 90.00, 90.00 degrees
Sites, in units of the cell vectors:
In: 0.500 0.000 0.000
In: 0.000 0.500 0.000
Ba: 0.500 0.500 0.500
Ca: 0.000 0.000 0.500
Pd: 0.000 0.000 0.000

=====

(5)
Li3ErZn8 | PBE | optimized geometry

Summary:
Formation enthalpy at 0 K ... -0.213 eV per atom
Total magnetization ... 0.00 μB/cell
Space-group type ... No. 160
Calculated volume ... 16.78 Å³/atom
Total DFT energy (no corrections) ... -23.0 eV/cell
Fermi-level density of states ... 4.26 states/eV/f.u.

Cell lengths 5.190, 5.190, 9.134 Å; angles 73.49, 73.49, 60.00 degrees
Sites, in units of the cell vectors:
Er: 0.875 0.875 0.374
Zn: 0.940 0.439 0.182
Li: 0.004 0.004 0.989
Zn: 0.937 0.937 0.691
Li: 0.375 0.375 0.876
Zn: 0.439 0.940 0.182
Zn: 0.187 0.187 0.439
Zn: 0.439 0.439 0.182
Zn: 0.937 0.435 0.691
Li: 0.494 0.494 0.517
Zn: 0.435 0.937 0.691
Zn: 0.688 0.688 0.935

=====

(6)
TiV3Fe | PBE | optimized geometry

Summary:
Formation enthalpy at 0 K ... 0.451 eV per atom
Total magnetization ... 4.32 μB/cell
Space-group type ... No. 63
Calculated volume ... 14.94 Å³/atom
Total DFT energy (no corrections) ... -82.9 eV/cell
Fermi-level density of states ... 6.88 states/eV/f.u.
Energy relative to the lowest polymorph listed for this composition ... 0.0000 eV per atom

Cell lengths 4.687, 4.746, 7.113 Å; angles 90.00, 109.24, 90.00 degrees
Each line ends with the local moment (μB).
Sites, in units of the cell vectors:
V: 0.000 0.000 0.000  -0.02
V: 0.112 0.250 0.717  -0.10
Ti: 0.815 0.750 0.630  0.03
V: 0.395 0.750 0.283  -0.10
Ti: 0.185 0.250 0.370  0.03
Fe: 0.446 0.750 0.893  2.40
V: 0.000 0.500 0.000  -0.02
V: 0.605 0.250 0.717  -0.10
V: 0.888 0.750 0.283  -0.10
Fe: 0.554 0.250 0.107  2.40

=====

(7)
LiCuH4Pd2 | PBE | optimized geometry

Summary:
Total magnetization ... 0.00 μB/cell
Space-group type ... No. 63
Calculated volume ... 8.69 Å³/atom
Total DFT energy (no corrections) ... -61.8 eV/cell
Fermi-level density of states ... 1.06 states/eV/f.u.

Cell lengths 2.875, 5.599, 8.940 Å; angles 90.00, 90.00, 104.88 degrees
Sites, in units of the cell vectors:
Li: 0.974 0.949 0.250
H: 0.000 0.000 0.000
Pd: 0.627 0.254 0.036
Cu: 0.244 0.489 0.250
Pd: 0.627 0.254 0.464
H: 0.367 0.735 0.750
H: 0.627 0.255 0.651
Li: 0.026 0.051 0.750
H: 0.627 0.255 0.849
H: 0.000 0.000 0.500
H: 0.633 0.265 0.250
Pd: 0.373 0.746 0.964
Pd: 0.373 0.746 0.536
Cu: 0.756 0.511 0.750
H: 0.373 0.745 0.349
H: 0.373 0.745 0.151

=====

(8)
Li3SbP | PBE | optimized geometry

Summary:
Total magnetization ... 2.87 μB/cell
Space-group type ... No. 221
Calculated volume ... 27.91 Å³/atom
Total DFT energy (no corrections) ... -14.0 eV/cell
Fermi-level density of states ... 2.34 states/eV/f.u.
Formation energy without anion corrections ... 256 meV per atom
Energy relative to the lowest polymorph listed for this composition ... 0.7127 eV per atom

Cell lengths 5.187, 5.187, 5.187 Å; angles 90.00, 90.00, 90.00 degrees
Each line ends with the local moment (μB).
Sites, in units of the cell vectors:
P: 0.500 0.500 0.500  0.93
Li: 0.500 0.000 0.000  0.01
Sb: 0.000 0.000 0.000  0.24
Li: 0.000 0.000 0.500  0.00
Li: 0.000 0.500 0.000  0.01

=====

(9)
Co2TcSn2 | PBE | optimized geometry

Summary:
Formation enthalpy at 0 K ... 0.286 eV per atom
Total magnetization ... 3.33 μB/cell
Space-group type ... No. 127
Calculated volume ... 15.57 Å³/atom
Total DFT energy (no corrections) ... -62.3 eV/cell
Fermi-level density of states ... 5.24 states/eV/f.u.

Cell lengths 6.779, 6.779, 3.388 Å; angles 90.00, 90.00, 90.00 degrees
Each line ends with the local moment (μB).
Sites, in units of the cell vectors:
Tc: 0.000 0.000 0.000  0.80
Co: 0.376 0.876 0.000  0.43
Sn: 0.675 0.825 0.500  -0.04
Co: 0.124 0.376 0.000  0.44
Sn: 0.825 0.325 0.500  -0.04
Tc: 0.500 0.500 0.000  0.80
Co: 0.876 0.624 0.000  0.44
Sn: 0.175 0.675 0.500  -0.04
Co: 0.624 0.124 0.000  0.43
Sn: 0.325 0.175 0.500  -0.04

=====

(10)
Ho4Er3Sc4 | PBE | optimized geometry

Summary:
Formation enthalpy at 0 K ... 0.070 eV per atom
Total magnetization ... 0.01 μB/cell
Space-group type ... No. 2
Calculated volume ... 28.44 Å³/atom
Total DFT energy (no corrections) ... -56.6 eV/cell
Fermi-level density of states ... 22.42 states/eV/f.u.
Energy relative to the lowest polymorph listed for this composition ... 0.0216 eV per atom

Cell lengths 3.388, 5.402, 17.386 Å; angles 81.04, 84.39, 90.00 degrees
Sites, in units of the cell vectors:
Sc: 0.318 0.819 0.362
Ho: 0.732 0.732 0.535
Ho: 0.268 0.268 0.465
Ho: 0.591 0.091 0.819
Sc: 0.545 0.545 0.911
Er: 0.137 0.636 0.727
Sc: 0.682 0.181 0.638
Ho: 0.409 0.909 0.181
Er: 0.863 0.364 0.273
Er: 0.000 0.000 0.000
Sc: 0.455 0.455 0.089